Entry from the Alexandria database: a relaxed structure of Er12AlFe6 (PBE-GGA).

a = 8.2851 Å, b = 8.2851 Å, c = 8.2851 Å
α = 109.47°, β = 109.47°, γ = 109.47°
With the nearest neighbours (Å) after each atom.
Atoms (fractional coordinates):
Er1 0.1023 0.8062 0.2961  3 Fe 2.70-2.89
Er2 0.1938 0.2961 0.4899  3 Fe 2.70-2.89
Er3 0.1938 0.7039 0.8977  3 Fe 2.70-2.89
Er4 0.2961 0.1023 0.8062  3 Fe 2.70-2.89
Er5 0.2961 0.4899 0.1938  3 Fe 2.70-2.89
Er6 0.4899 0.1938 0.2961  3 Fe 2.70-2.89
Er7 0.5101 0.8062 0.7039  3 Fe 2.70-2.89
Er8 0.7039 0.5101 0.8062  3 Fe 2.70-2.89
Er9 0.7039 0.8977 0.1938  3 Fe 2.70-2.89
Er10 0.8062 0.2961 0.1023  3 Fe 2.70-2.89
Er11 0.8062 0.7039 0.5101  3 Fe 2.70-2.89
Er12 0.8977 0.1938 0.7039  3 Fe 2.70-2.89
Al1 0.0000 0.0000 0.0000  12 Er 3.39
Fe1 0.1112 0.6112 0.5000  1 Fe 2.13
Fe2 0.3888 0.5000 0.8888  1 Fe 2.13
Fe3 0.5000 0.1112 0.6112  1 Fe 2.13
Fe4 0.5000 0.8888 0.3888  1 Fe 2.13
Fe5 0.6112 0.5000 0.1112  1 Fe 2.13
Fe6 0.8888 0.3888 0.5000  1 Fe 2.13

Summary:
uncorrected energy	-5.831	eV per atom
energy relative to the elements	-0.080	eV/atom
crystal system	cubic
total magnetic moment	6.6	μB/cell